Density functional theory data (PBE-GGA) for an optimized crystal structure of TaRu. Values from VASP.

Properties
* total moment: 0.00 μB per cell
* space-group type: P4/mmm, No. 123
* D(E_F): 0.890 states/eV/atom
* energy of formation from the pure elements: -326.4 meV/atom

The structure in Quantum ESPRESSO input format:
```
&SYSTEM
  ibrav = 0, nat = 2, ntyp = 2
/
ATOMIC_SPECIES
Ta 180.95 Ta.upf
Ru 101.07 Ru.upf
CELL_PARAMETERS angstrom
3.0523 0.0000 0.0000
0.0000 3.0523 0.0000
0.0000 0.0000 3.4393
ATOMIC_POSITIONS angstrom
Ta 0.0000 0.0000 0.0000
Ru 1.5262 1.5262 1.7197
```

=====

Density functional theory data (PBE-GGA) for an optimized crystal structure of Cs2CaP2O7. Values from VASP.

Properties
* total moment: 0.00 μB per cell
* space-group type: Cm, No. 8
* D(E_F): 0.000 states/eV/atom
* raw formation energy: -2487 meV/atom

The structure in Quantum ESPRESSO input format:
```
&SYSTEM
  ibrav = 0, nat = 12, ntyp = 4
/
ATOMIC_SPECIES
Cs 132.91 Cs.upf
Ca 40.08 Ca.upf
P 30.97 P.upf
O 16.00 O.upf
CELL_PARAMETERS angstrom
5.2117 -3.0017 0.0000
5.2117 3.0017 0.0000
-3.5391 0.0000 6.6049
ATOMIC_POSITIONS angstrom
Cs 0.0000 0.0000 0.0000
Cs 3.5303 0.0000 4.4305
Ca 6.9842 0.0000 2.1944
P 0.0476 0.0000 3.8776
P 3.4484 0.0000 0.4771
O -1.3290 0.0000 3.2169
O 0.8525 1.2878 3.6340
O 2.7415 1.2820 0.9279
O -0.3558 0.0000 5.4633
O 0.8525 -1.2878 3.6340
O 4.9650 0.0000 0.7284
O 2.7415 -1.2820 0.9279
```

=====

Density functional theory data (PBE-GGA) for an optimized crystal structure of SrNpIr. Values from VASP.

Properties
* total moment: 8.25 μB per cell
* space-group type: P4/nmm, No. 129
* D(E_F): 1.564 states/eV/atom
* energy of formation from the pure elements: -136.7 meV/atom

The structure in Quantum ESPRESSO input format:
```
&SYSTEM
  ibrav = 0, nat = 6, ntyp = 3
/
ATOMIC_SPECIES
Sr 87.62 Sr.upf
Np 237.00 Np.upf
Ir 192.22 Ir.upf
CELL_PARAMETERS angstrom
4.6395 0.0000 0.0000
0.0000 4.6395 0.0000
0.0000 0.0000 7.8598
ATOMIC_POSITIONS angstrom
Sr 1.1599 1.1599 1.0516
Sr 3.4796 3.4796 6.8082
Np 1.1599 3.4796 3.9299
Np 3.4796 1.1599 3.9299
Ir 1.1599 1.1599 5.4960
Ir 3.4796 3.4796 2.3638
```

=====

Density functional theory data (PBE-GGA) for an optimized crystal structure of Ac2YMg. Values from VASP.

Properties
* total moment: 0.00 μB per cell
* space-group type: Fm-3m, No. 225
* D(E_F): 0.979 states/eV/atom
* energy of formation from the pure elements: 37.6 meV/atom
* distance to the lowest polymorph of the same formula: 41.4 meV per atom

The structure in Quantum ESPRESSO input format:
```
&SYSTEM
  ibrav = 0, nat = 4, ntyp = 3
/
ATOMIC_SPECIES
Ac 227.00 Ac.upf
Y 88.91 Y.upf
Mg 24.30 Mg.upf
CELL_PARAMETERS angstrom
0.0000 4.1820 4.1820
4.1820 0.0000 4.1820
4.1820 4.1820 0.0000
ATOMIC_POSITIONS angstrom
Ac 2.0910 2.0910 2.0910
Ac 6.2730 6.2730 6.2730
Y 0.0000 0.0000 0.0000
Mg 4.1820 4.1820 4.1820
```

=====

Density functional theory data (PBE-GGA) for an optimized crystal structure of Ac3TmGa2O9. Values from VASP.

Properties
* total moment: 0.00 μB per cell
* space-group type: P-3m1, No. 164
* D(E_F): 0.000 states/eV/atom
* raw formation energy: -2876 meV/atom

The structure in Quantum ESPRESSO input format:
```
&SYSTEM
  ibrav = 0, nat = 15, ntyp = 4
/
ATOMIC_SPECIES
Ac 227.00 Ac.upf
Tm 168.93 Tm.upf
Ga 69.72 Ga.upf
O 16.00 O.upf
CELL_PARAMETERS angstrom
5.7436 0.0000 0.0000
-2.8718 4.9741 0.0000
0.0000 0.0000 7.1753
ATOMIC_POSITIONS angstrom
Ac 0.0000 0.0000 0.0000
Ac 0.0000 3.3161 5.0121
Ac 2.8718 1.6580 2.1632
Tm 0.0000 0.0000 3.5877
Ga 0.0000 3.3161 1.2160
Ga 2.8718 1.6580 5.9594
O -1.4359 2.4871 0.0000
O 0.0000 1.6953 2.2673
O -1.4037 4.1265 2.2673
O 1.4682 0.8476 4.9081
O 2.8718 0.0000 0.0000
O 1.4359 2.4871 0.0000
O 1.4037 4.1265 2.2673
O 4.2755 0.8476 4.9081
O 2.8718 3.2789 4.9081
```

=====

Density functional theory data (PBE-GGA) for an optimized crystal structure of Ac2GaBi. Values from VASP.

Properties
* total moment: 0.00 μB per cell
* space-group type: P4/mmm, No. 123
* D(E_F): 0.653 states/eV/atom
* energy of formation from the pure elements: -580.9 meV/atom
* distance to the lowest polymorph of the same formula: 0.0 meV per atom

The structure in Quantum ESPRESSO input format:
```
&SYSTEM
  ibrav = 0, nat = 4, ntyp = 3
/
ATOMIC_SPECIES
Ac 227.00 Ac.upf
Ga 69.72 Ga.upf
Bi 208.98 Bi.upf
CELL_PARAMETERS angstrom
4.2127 0.0000 0.0000
0.0000 4.2127 0.0000
0.0000 0.0000 7.5769
ATOMIC_POSITIONS angstrom
Ac 0.0000 0.0000 1.8705
Ac 0.0000 0.0000 5.7063
Ga 2.1064 2.1064 0.0000
Bi 2.1064 2.1064 3.7884
```

=====

E_tot values (in eV per atom) by entry order: -10.891 -6.590 -7.965 -4.031 -7.375 -4.362.